No. 1
Cr2CuAgS4: optimized geometry, PBE.

Unit cell a=6.125 b=3.545 c=6.788 alpha=90.00 beta=108.06 gamma=90.00
Positions (direct):
Cr: 0.000 0.000 0.000
Cr: 0.488 0.500 0.989
Cu: 0.126 0.000 0.436
Ag: 0.669 0.500 0.452
S: 0.231 0.500 0.222
S: 0.255 0.000 0.790
S: 0.734 0.000 0.196
S: 0.769 0.500 0.818

Output
formation energy from raw total energies = -0.464 eV per atom

---

No. 2
TaCr2CuAg: optimized geometry, PBE.

Unit cell a=4.772 b=4.772 c=4.532 alpha=90.00 beta=90.00 gamma=90.00
Positions (direct):
Ta: 0.000 0.000 0.000
Cr: 0.000 0.500 0.500
Cr: 0.500 0.000 0.500
Cu: 0.500 0.500 0.000
Ag: 0.500 0.500 0.500

Output
DOS(E_F) = 3.80 states/eV/f.u.
ΔH_f (0 K) = 1.731 eV/atom

---

No. 3
TlCrCuAg2: optimized geometry, PBE.

Unit cell a=5.239 b=5.239 c=5.231 alpha=90.00 beta=90.00 gamma=90.00
Positions (direct):
Tl: 0.000 0.000 0.000
Cr: 0.000 0.000 0.500
Cu: 0.500 0.500 0.500
Ag: 0.000 0.500 0.000
Ag: 0.500 0.000 0.000

Output
DOS(E_F) = 3.32 states/eV/f.u.
ΔH_f (0 K) = 1.294 eV/atom

---

No. 4
Dy2CrAg: optimized geometry, PBE.

Unit cell a=3.611 b=3.611 c=7.172 alpha=90.00 beta=90.00 gamma=90.00
Positions (direct):
Dy: 0.000 0.000 0.243
Dy: 0.000 0.000 0.757
Cr: 0.500 0.500 0.000
Ag: 0.500 0.500 0.500

Output
DOS(E_F) = 4.03 states/eV/f.u.
ΔH_f (0 K) = 0.033 eV/atom

---

No. 5
Er2CrAg: optimized geometry, PBE.

Unit cell a=3.582 b=3.582 c=7.092 alpha=90.00 beta=90.00 gamma=90.00
Positions (direct):
Er: 0.000 0.000 0.242
Er: 0.000 0.000 0.758
Cr: 0.500 0.500 0.000
Ag: 0.500 0.500 0.500

Output
DOS(E_F) = 3.73 states/eV/f.u.
ΔH_f (0 K) = 0.015 eV/atom

---

No. 6
Er3CrAg3S8: optimized geometry, PBE.

Unit cell a=7.606 b=7.606 c=8.089 alpha=121.00 beta=121.00 gamma=61.12
Positions (direct):
Er: 0.000 0.000 0.000
Er: 0.000 0.500 0.500
Er: 0.500 0.000 0.500
Cr: 0.500 0.500 0.000
Ag: 0.000 0.500 0.000
Ag: 0.500 0.000 0.000
Ag: 0.500 0.500 0.500
S: 0.254 0.254 0.274
S: 0.266 0.266 0.752
S: 0.267 0.720 0.207
S: 0.280 0.733 0.793
S: 0.720 0.267 0.207
S: 0.733 0.280 0.793
S: 0.734 0.734 0.248
S: 0.746 0.746 0.726

Output
DOS(E_F) = 9.07 states/eV/f.u.
formation energy from raw total energies = -1.089 eV per atom

---

| no. | raw total energy (eV per cell) |
| --- | --- |
| 1 | -46.42 |
| 2 | -29.39 |
| 3 | -15.32 |
| 4 | -21.55 |
| 5 | -21.54 |
| 6 | -81.22 |